a:
{"formula": "Sm2YIr", "functional": "GGA-PBE", "state": "optimized geometry", "cell": [[1.8972, 1.0954, 10.6334], [-1.8972, 1.0954, 10.6334], [0.0000, -2.1908, 10.6334]], "species": ["Sm", "Sm", "Y", "Ir"], "frac_coords": [[0.1125, 0.1125, 0.1125], [0.8875, 0.8875, 0.8875], [0.0000, 0.0000, 0.0000], [0.5000, 0.5000, 0.5000]], "magnetic_moment_mub_per_cell": 0.7}



b:
{"formula": "Sm2YIr", "functional": "GGA-PBE", "state": "optimized geometry", "cell": [[7.2951, 0.0000, 0.0000], [0.0000, 9.6725, 0.0000], [0.0000, 0.0000, 6.3943]], "species": ["Sm", "Sm", "Sm", "Sm", "Sm", "Sm", "Sm", "Sm", "Y", "Y", "Y", "Y", "Ir", "Ir", "Ir", "Ir"], "frac_coords": [[0.1776, 0.0644, 0.1727], [0.1776, 0.4356, 0.1727], [0.3224, 0.5644, 0.6727], [0.3224, 0.9356, 0.6727], [0.6776, 0.0644, 0.3273], [0.6776, 0.4356, 0.3273], [0.8224, 0.5644, 0.8273], [0.8224, 0.9356, 0.8273], [0.0356, 0.2500, 0.6401], [0.4644, 0.7500, 0.1401], [0.5356, 0.2500, 0.8599], [0.9644, 0.7500, 0.3599], [0.1185, 0.7500, 0.9486], [0.3815, 0.2500, 0.4486], [0.6185, 0.7500, 0.5514], [0.8815, 0.2500, 0.0514]], "magnetic_moment_mub_per_cell": 0.0}



c:
{"formula": "Sm2YIr", "functional": "GGA-PBE", "state": "optimized geometry", "cell": [[1.9748, -6.0257, 0.0000], [1.9748, 6.0257, 0.0000], [0.0000, 0.0000, 9.4284]], "species": ["Sm", "Sm", "Sm", "Sm", "Y", "Y", "Ir", "Ir"], "frac_coords": [[0.1398, 0.8602, 0.5665], [0.1398, 0.8602, 0.9335], [0.8602, 0.1398, 0.0665], [0.8602, 0.1398, 0.4335], [0.4219, 0.5781, 0.7500], [0.5781, 0.4219, 0.2500], [0.2534, 0.7466, 0.2500], [0.7466, 0.2534, 0.7500]], "magnetic_moment_mub_per_cell": 0.0}



Which one sits at the bottom of the stability order? a does.



a:
{"formula": "SmZn9Ir2", "functional": "GGA-PBE", "state": "optimized geometry", "cell": [[8.6892, 0.0000, 0.0000], [-4.3446, 7.5251, 0.0000], [0.0000, 0.0000, 3.0488]], "species": ["Sm", "Zn", "Zn", "Zn", "Zn", "Zn", "Zn", "Zn", "Zn", "Zn", "Ir", "Ir"], "frac_coords": [[0.0000, 0.0000, 0.0000], [0.0000, 0.5000, 0.0000], [0.1870, 0.3740, 0.5000], [0.1870, 0.8130, 0.5000], [0.3740, 0.1870, 0.5000], [0.5000, 0.0000, 0.0000], [0.5000, 0.5000, 0.0000], [0.6260, 0.8130, 0.5000], [0.8130, 0.1870, 0.5000], [0.8130, 0.6260, 0.5000], [0.3333, 0.6667, 0.0000], [0.6667, 0.3333, 0.0000]], "magnetic_moment_mub_per_cell": 0.0}



b:
{"formula": "SmZn9Ir2", "functional": "GGA-PBE", "state": "optimized geometry", "cell": [[-5.2741, 5.2741, 3.4809], [5.2741, -5.2741, 3.4809], [5.2741, 5.2741, -3.4809]], "species": ["Sm", "Sm", "Zn", "Zn", "Zn", "Zn", "Zn", "Zn", "Zn", "Zn", "Zn", "Zn", "Zn", "Zn", "Zn", "Zn", "Zn", "Zn", "Zn", "Zn", "Ir", "Ir", "Ir", "Ir"], "frac_coords": [[0.3750, 0.6250, 0.7500], [0.6250, 0.3750, 0.2500], [0.1250, 0.8750, 0.2500], [0.1380, 0.5595, 0.3356], [0.1380, 0.8024, 0.5785], [0.1976, 0.2761, 0.3356], [0.1976, 0.8620, 0.9215], [0.2761, 0.1976, 0.8356], [0.2761, 0.4405, 0.0785], [0.4405, 0.2761, 0.5785], [0.4405, 0.8620, 0.1644], [0.5595, 0.1380, 0.8356], [0.5595, 0.7239, 0.4215], [0.7239, 0.5595, 0.9215], [0.7239, 0.8024, 0.1644], [0.8024, 0.1380, 0.0785], [0.8024, 0.7239, 0.6644], [0.8620, 0.1976, 0.4215], [0.8620, 0.4405, 0.6644], [0.8750, 0.1250, 0.7500], [0.0000, 0.0000, 0.0000], [0.0000, 0.0000, 0.5000], [0.0000, 0.5000, 0.0000], [0.5000, 0.0000, 0.5000]], "magnetic_moment_mub_per_cell": 0.0}



Which one sits at the bottom of the stability order? a does.



a:
{"formula": "Sm4ZnIr", "functional": "GGA-PBE", "state": "optimized geometry", "cell": [[0.0000, 6.8686, 6.8686], [6.8686, 0.0000, 6.8686], [6.8686, 6.8686, 0.0000]], "species": ["Sm", "Sm", "Sm", "Sm", "Sm", "Sm", "Sm", "Sm", "Sm", "Sm", "Sm", "Sm", "Sm", "Sm", "Sm", "Sm", "Zn", "Zn", "Zn", "Zn", "Ir", "Ir", "Ir", "Ir"], "frac_coords": [[0.1881, 0.1881, 0.8119], [0.1881, 0.8119, 0.1881], [0.1881, 0.8119, 0.8119], [0.3978, 0.3978, 0.3978], [0.3978, 0.3978, 0.8066], [0.3978, 0.8066, 0.3978], [0.5577, 0.5577, 0.9423], [0.5577, 0.9423, 0.5577], [0.5577, 0.9423, 0.9423], [0.8066, 0.3978, 0.3978], [0.8119, 0.1881, 0.1881], [0.8119, 0.1881, 0.8119], [0.8119, 0.8119, 0.1881], [0.9423, 0.5577, 0.5577], [0.9423, 0.5577, 0.9423], [0.9423, 0.9423, 0.5577], [0.1718, 0.1718, 0.1718], [0.1718, 0.1718, 0.4845], [0.1718, 0.4845, 0.1718], [0.4845, 0.1718, 0.1718], [0.1769, 0.6077, 0.6077], [0.6077, 0.1769, 0.6077], [0.6077, 0.6077, 0.1769], [0.6077, 0.6077, 0.6077]], "magnetic_moment_mub_per_cell": 0.0}



b:
{"formula": "Sm4ZnIr", "functional": "GGA-PBE", "state": "optimized geometry", "cell": [[-4.7849, 4.7849, 4.3213], [4.7849, -4.7849, 4.3213], [4.7849, 4.7849, -4.3213]], "species": ["Sm", "Sm", "Sm", "Sm", "Sm", "Sm", "Sm", "Sm", "Zn", "Zn", "Ir", "Ir"], "frac_coords": [[0.1666, 0.4702, 0.6964], [0.2202, 0.0238, 0.8036], [0.2202, 0.4166, 0.1964], [0.2986, 0.0000, 0.2986], [0.7014, 0.0000, 0.7014], [0.7500, 0.5486, 0.7986], [0.7500, 0.9514, 0.2014], [0.7738, 0.4702, 0.3036], [0.2325, 0.7325, 0.5000], [0.4825, 0.4825, 0.0000], [0.7346, 0.2346, 0.5000], [0.9846, 0.9846, 0.0000]], "magnetic_moment_mub_per_cell": 0.0}



Which one sits at the bottom of the stability order? b does.



a:
{"formula": "Sn3Ir", "functional": "GGA-PBE", "state": "optimized geometry", "cell": [[-1.6721, 2.2112, 6.3978], [1.6721, -2.2112, 6.3978], [1.6721, 2.2112, -6.3978]], "species": ["Sn", "Sn", "Sn", "Ir"], "frac_coords": [[0.0000, 0.0000, 0.0000], [0.3172, 0.8172, 0.5000], [0.6828, 0.1828, 0.5000], [0.5000, 0.5000, 0.0000]], "magnetic_moment_mub_per_cell": 0.0}



b:
{"formula": "Sn3Ir", "functional": "GGA-PBE", "state": "optimized geometry", "cell": [[3.1730, 0.0000, 0.0000], [0.0000, 8.8355, 0.0000], [0.0000, 0.0000, 7.4347]], "species": ["Sn", "Sn", "Sn", "Sn", "Sn", "Sn", "Ir", "Ir"], "frac_coords": [[0.2500, 0.0302, 0.1877], [0.2500, 0.2500, 0.6253], [0.2500, 0.4698, 0.1877], [0.7500, 0.5302, 0.8123], [0.7500, 0.7500, 0.3747], [0.7500, 0.9698, 0.8123], [0.2500, 0.7500, 0.6733], [0.7500, 0.2500, 0.3267]], "magnetic_moment_mub_per_cell": 0.0}



c:
{"formula": "Sn3Ir", "functional": "GGA-PBE", "state": "optimized geometry", "cell": [[2.1068, -5.0212, 0.0000], [2.1068, 5.0212, 0.0000], [0.0000, 0.0000, 8.5119]], "species": ["Sn", "Sn", "Sn", "Sn", "Sn", "Sn", "Ir", "Ir"], "frac_coords": [[0.0736, 0.9264, 0.7500], [0.3579, 0.6421, 0.5485], [0.3579, 0.6421, 0.9515], [0.6421, 0.3579, 0.0485], [0.6421, 0.3579, 0.4515], [0.9264, 0.0736, 0.2500], [0.2285, 0.7715, 0.2500], [0.7715, 0.2285, 0.7500]], "magnetic_moment_mub_per_cell": 0.0}



Which one sits at the bottom of the stability order? b does.



a:
{"formula": "SrSnIr3", "functional": "GGA-PBE", "state": "optimized geometry", "cell": [[5.0014, 0.0000, 0.0000], [0.0000, 5.0014, 0.0000], [0.0000, 0.0000, 5.0014]], "species": ["Sr", "Sn", "Ir", "Ir", "Ir"], "frac_coords": [[0.0000, 0.0000, 0.0000], [0.5000, 0.5000, 0.5000], [0.0000, 0.0000, 0.5000], [0.0000, 0.5000, 0.0000], [0.5000, 0.0000, 0.0000]], "magnetic_moment_mub_per_cell": 1.0}



b:
{"formula": "SrSnIr3", "functional": "GGA-PBE", "state": "optimized geometry", "cell": [[4.9502, 0.0000, 0.0000], [0.0000, 4.9502, 0.0000], [0.0000, 0.0000, 4.9502]], "species": ["Sr", "Sn", "Ir", "Ir", "Ir"], "frac_coords": [[0.0000, 0.0000, 0.0000], [0.5000, 0.5000, 0.5000], [0.0000, 0.5000, 0.5000], [0.5000, 0.0000, 0.5000], [0.5000, 0.5000, 0.0000]], "magnetic_moment_mub_per_cell": 0.0}



Which one sits at the bottom of the stability order? a does.



a:
{"formula": "SrSn4Ir2", "functional": "GGA-PBE", "state": "optimized geometry", "cell": [[2.5296, -6.4424, 0.0000], [2.5296, 6.4424, 0.0000], [0.0000, 0.0000, 5.1028]], "species": ["Sr", "Sn", "Sn", "Sn", "Sn", "Ir", "Ir"], "frac_coords": [[0.0000, 0.0000, 0.0000], [0.1746, 0.8254, 0.5000], [0.3215, 0.6785, 0.0000], [0.6785, 0.3215, 0.0000], [0.8254, 0.1746, 0.5000], [0.3975, 0.6025, 0.5000], [0.6025, 0.3975, 0.5000]], "magnetic_moment_mub_per_cell": 0.0}



b:
{"formula": "SrSn4Ir2", "functional": "GGA-PBE", "state": "optimized geometry", "cell": [[18.9031, 0.0000, 0.0000], [0.0000, 4.5007, 0.0000], [0.0000, 0.0000, 7.3281]], "species": ["Sr", "Sr", "Sr", "Sr", "Sn", "Sn", "Sn", "Sn", "Sn", "Sn", "Sn", "Sn", "Sn", "Sn", "Sn", "Sn", "Sn", "Sn", "Sn", "Sn", "Ir", "Ir", "Ir", "Ir", "Ir", "Ir", "Ir", "Ir"], "frac_coords": [[0.1423, 0.2500, 0.0093], [0.3577, 0.7500, 0.5093], [0.6423, 0.2500, 0.4907], [0.8577, 0.7500, 0.9907], [0.0323, 0.7500, 0.8668], [0.0688, 0.2500, 0.4832], [0.1828, 0.7500, 0.3067], [0.1941, 0.7500, 0.7286], [0.3059, 0.2500, 0.2286], [0.3172, 0.2500, 0.8067], [0.4312, 0.7500, 0.9832], [0.4677, 0.2500, 0.3668], [0.5323, 0.7500, 0.6332], [0.5688, 0.2500, 0.0168], [0.6828, 0.7500, 0.1933], [0.6941, 0.7500, 0.7714], [0.8059, 0.2500, 0.2714], [0.8172, 0.2500, 0.6933], [0.9312, 0.7500, 0.5168], [0.9677, 0.2500, 0.1332], [0.0364, 0.7500, 0.2566], [0.2141, 0.2500, 0.5200], [0.2859, 0.7500, 0.0200], [0.4636, 0.2500, 0.7566], [0.5364, 0.7500, 0.2434], [0.7141, 0.2500, 0.9800], [0.7859, 0.7500, 0.4800], [0.9636, 0.2500, 0.7434]], "magnetic_moment_mub_per_cell": 0.0}



Which one sits at the bottom of the stability order? a does.



a:
{"formula": "SrSn3Ir3", "functional": "GGA-PBE", "state": "optimized geometry", "cell": [[3.5930, 2.0744, 7.3579], [-3.5930, 2.0744, 7.3579], [0.0000, -4.1489, 7.3579]], "species": ["Sr", "Sr", "Sn", "Sn", "Sn", "Sn", "Sn", "Sn", "Ir", "Ir", "Ir", "Ir", "Ir", "Ir"], "frac_coords": [[0.1594, 0.1594, 0.1594], [0.8406, 0.8406, 0.8406], [0.0503, 0.5907, 0.2161], [0.2161, 0.0503, 0.5907], [0.4093, 0.7839, 0.9497], [0.5907, 0.2161, 0.0503], [0.7839, 0.9497, 0.4093], [0.9497, 0.4093, 0.7839], [0.1915, 0.6364, 0.3935], [0.3636, 0.6065, 0.8085], [0.3935, 0.1915, 0.6364], [0.6065, 0.8085, 0.3636], [0.6364, 0.3935, 0.1915], [0.8085, 0.3636, 0.6065]], "magnetic_moment_mub_per_cell": 0.0}



b:
{"formula": "SrSn3Ir3", "functional": "GGA-PBE", "state": "optimized geometry", "cell": [[7.2954, 0.0000, 0.0000], [0.0000, 7.2954, 0.0000], [0.0000, 0.0000, 7.2954]], "species": ["Sr", "Sr", "Sn", "Sn", "Sn", "Sn", "Sn", "Sn", "Ir", "Ir", "Ir", "Ir", "Ir", "Ir"], "frac_coords": [[0.0000, 0.0000, 0.0000], [0.5000, 0.5000, 0.5000], [0.0000, 0.2500, 0.5000], [0.0000, 0.7500, 0.5000], [0.2500, 0.5000, 0.0000], [0.5000, 0.0000, 0.2500], [0.5000, 0.0000, 0.7500], [0.7500, 0.5000, 0.0000], [0.0000, 0.5000, 0.2500], [0.0000, 0.5000, 0.7500], [0.2500, 0.0000, 0.5000], [0.5000, 0.2500, 0.0000], [0.5000, 0.7500, 0.0000], [0.7500, 0.0000, 0.5000]], "magnetic_moment_mub_per_cell": 0.0}



Which one sits at the bottom of the stability order? b does.



a:
{"formula": "Sr2Sn2Ir", "functional": "GGA-PBE", "state": "optimized geometry", "cell": [[7.2899, 0.0000, 0.0000], [0.0000, 7.2899, 0.0000], [0.0000, 0.0000, 5.1825]], "species": ["Sr", "Sr", "Sr", "Sr", "Sn", "Sn", "Sn", "Sn", "Ir", "Ir"], "frac_coords": [[0.1736, 0.3264, 0.0000], [0.3264, 0.8264, 0.0000], [0.6736, 0.1736, 0.0000], [0.8264, 0.6736, 0.0000], [0.1439, 0.6439, 0.5000], [0.3561, 0.1439, 0.5000], [0.6439, 0.8561, 0.5000], [0.8561, 0.3561, 0.5000], [0.0000, 0.0000, 0.5000], [0.5000, 0.5000, 0.5000]], "magnetic_moment_mub_per_cell": 0.0}



b:
{"formula": "Sr2Sn2Ir", "functional": "GGA-PBE", "state": "optimized geometry", "cell": [[5.8887, -2.3738, 0.0000], [5.8887, 2.3738, 0.0000], [-5.2150, 0.0000, 10.3534]], "species": ["Sr", "Sr", "Sr", "Sr", "Sn", "Sn", "Sn", "Sn", "Ir", "Ir"], "frac_coords": [[0.0070, 0.0070, 0.1664], [0.1883, 0.1883, 0.6133], [0.8117, 0.8117, 0.3867], [0.9930, 0.9930, 0.8336], [0.3195, 0.3195, 0.9402], [0.4888, 0.4888, 0.6249], [0.5112, 0.5112, 0.3751], [0.6805, 0.6805, 0.0598], [0.2838, 0.2838, 0.1614], [0.7162, 0.7162, 0.8386]], "magnetic_moment_mub_per_cell": 0.0}



Which one sits at the bottom of the stability order? a does.



a:
{"formula": "SrSn2TeIr", "functional": "GGA-PBE", "state": "optimized geometry", "cell": [[5.0692, 0.0000, 0.0000], [0.0000, 5.0692, 0.0000], [0.0000, 0.0000, 6.0573]], "species": ["Sr", "Sn", "Sn", "Te", "Ir"], "frac_coords": [[0.0000, 0.0000, 0.0000], [0.0000, 0.5000, 0.5000], [0.5000, 0.0000, 0.5000], [0.5000, 0.5000, 0.0000], [0.0000, 0.0000, 0.5000]], "magnetic_moment_mub_per_cell": 0.0}



b:
{"formula": "SrSn2TeIr", "functional": "GGA-PBE", "state": "optimized geometry", "cell": [[5.6744, 0.0000, 0.0000], [0.0000, 5.6744, 0.0000], [0.0000, 0.0000, 5.9352]], "species": ["Sr", "Sn", "Sn", "Te", "Ir"], "frac_coords": [[0.0000, 0.0000, 0.0000], [0.0000, 0.5000, 0.5000], [0.5000, 0.0000, 0.5000], [0.0000, 0.0000, 0.5000], [0.5000, 0.5000, 0.0000]], "magnetic_moment_mub_per_cell": 0.6}



Which one sits at the bottom of the stability order? b does.